Material: NaCa2ReN
Method: DFT, PBE
State: relaxed

Its magnetic moment is 3.0 μB/cell. For the uncorrected formation energy, the calculation gives 173.1 kJ/mol of atoms.

Cell lengths 5.4122, 5.4058, 5.4122 Å; angles 90.00, 90.00, 90.00 degrees
Atoms (fractional coordinates):
1 Re 0.0000 0.0000 0.0000
2 Ca 0.0000 0.0000 0.5000
3 Ca 0.5000 0.0000 0.0000
4 N 0.5000 0.5000 0.5000
5 Na 0.0000 0.5000 0.0000